Density functional theory data (PBE+U) for a relaxed structure of TaNi2TeO.

```
data_TaNi2TeO
_chemical_formula_sum 'Ta1 Ni2 Te1 O1'
_cell_length_a 4.585
_cell_length_b 4.585
_cell_length_c 3.991
_cell_angle_alpha 90.00
_cell_angle_beta 90.00
_cell_angle_gamma 90.00
_space_group_name_H-M_alt 'P 1'
_space_group_IT_number 1
_space_group_name_Hall 'P 1'
loop_
_atom_site_label
_atom_site_fract_x
_atom_site_fract_y
_atom_site_fract_z
Ni1 0.000 0.500 0.000
Ni2 0.500 0.000 0.000
Te1 0.000 0.000 0.000
O1 0.000 0.000 0.500
Ta1 0.500 0.500 0.500
```

crystal system	tetragonal
space group	P4/mmm
D(E_F)	4.5	states/eV/f.u.
volume	83.9	Å³/cell
E_tot	-3.73	eV per atom
polymorph energy (0 for the lowest one)	709	meV/atom